(1)
Material: LiCd2Ir
Method: DFT, PBE
State: optimized geometry

Lattice parameters (Å, degrees): 3.034 4.805 9.625 90.00 90.00 90.00
Space group Cmm2 (No. 35)
One atom of each set of equivalent atoms:
Li 0.000 0.000 0.000
Cd 0.000 0.000 0.545
Cd 0.000 0.500 0.255
Ir 0.000 0.500 0.791

Computed properties:
DFT formation energy   0.076 eV/atom
Total DFT energy (no corrections)   -12.299 eV/f.u.

***

(2)
Material: HfGaFe
Method: DFT, PBE
State: optimized geometry

Lattice parameters (Å, degrees): 4.1769 4.1769 3.1237 90.00 90.00 120.00
Space group P3m1 (No. 156)
One atom of each set of equivalent atoms:
Hf 0.0000 0.0000 0.0000
Ga 0.3333 0.6667 0.4995
Fe 0.6667 0.3333 0.4945

Computed properties:
DFT formation energy   -0.240 eV/atom
Total DFT energy (no corrections)   -22.164 eV/f.u.

***

(3)
Material: KScMn2
Method: DFT, PBE
State: optimized geometry

Lattice parameters (Å, degrees): 2.949 4.319 7.255 90.00 91.65 90.00
Space group P2/m (No. 10)
One atom of each set of equivalent atoms:
K 0.000 0.000 0.000
Sc 0.000 0.000 0.500
Mn 0.490 0.500 0.368

Computed properties:
DFT formation energy   0.731 eV/atom
Total DFT energy (no corrections)   -22.846 eV/f.u.

***

What is the formula in the first record? LiCd2Ir